No. 1
# GGA-PBE Y2MnRe, relaxed
# * formation enthalpy at 0 K: 456 meV/atom
# * symmetry: No. 119
data_Y2MnRe
_cell_length_a 4.249
_cell_length_b 4.249
_cell_length_c 9.396
_cell_angle_alpha 90.00
_cell_angle_beta 90.00
_cell_angle_gamma 90.00
_space_group_name_H-M_alt 'P 1'
_space_group_IT_number 1
loop_
_space_group_symop_operation_xyz
'x,y,z'
loop_
_atom_site_label
_atom_site_type_symbol
_atom_site_fract_x
_atom_site_fract_y
_atom_site_fract_z
Y1 Y 0.000 0.000 0.000
Y2 Y 0.000 0.500 0.250
Y3 Y 0.500 0.000 0.750
Y4 Y 0.500 0.500 0.500
Mn1 Mn 0.000 0.500 0.750
Mn2 Mn 0.500 0.000 0.250
Re1 Re 0.000 0.000 0.500
Re2 Re 0.500 0.500 0.000

---

No. 2
# GGA-PBE KAsH3, relaxed
# * E: -3.057 eV per atom
# * symmetry: No. 221
data_KAsH3
_cell_length_a 3.996
_cell_length_b 3.996
_cell_length_c 3.996
_cell_angle_alpha 90.00
_cell_angle_beta 90.00
_cell_angle_gamma 90.00
_space_group_name_H-M_alt 'P 1'
_space_group_IT_number 1
loop_
_space_group_symop_operation_xyz
'x,y,z'
loop_
_atom_site_label
_atom_site_type_symbol
_atom_site_fract_x
_atom_site_fract_y
_atom_site_fract_z
K1 K 0.000 0.000 0.000
As1 As 0.500 0.500 0.500
H1 H 0.000 0.500 0.500
H2 H 0.500 0.000 0.500
H3 H 0.500 0.500 0.000

---

No. 3
# GGA-PBE IrW, relaxed
# * formation enthalpy at 0 K: -271 meV/atom
# * symmetry: No. 123
data_IrW
_cell_length_a 2.776
_cell_length_b 2.776
_cell_length_c 3.943
_cell_angle_alpha 90.00
_cell_angle_beta 90.00
_cell_angle_gamma 90.00
_space_group_name_H-M_alt 'P 1'
_space_group_IT_number 1
loop_
_space_group_symop_operation_xyz
'x,y,z'
loop_
_atom_site_label
_atom_site_type_symbol
_atom_site_fract_x
_atom_site_fract_y
_atom_site_fract_z
Ir1 Ir 0.000 0.000 0.000
W1 W 0.500 0.500 0.500

---

No. 4
# GGA-PBE Pa4BTe5, relaxed
# * symmetry: No. 12
# * formation energy without anion corrections: -0.648 eV per atom
data_Pa4BTe5
_cell_length_a 9.322
_cell_length_b 9.322
_cell_length_c 8.337
_cell_angle_alpha 102.06
_cell_angle_beta 102.06
_cell_angle_gamma 24.85
_space_group_name_H-M_alt 'P 1'
_space_group_IT_number 1
loop_
_space_group_symop_operation_xyz
'x,y,z'
loop_
_atom_site_label
_atom_site_type_symbol
_atom_site_fract_x
_atom_site_fract_y
_atom_site_fract_z
Pa1 Pa 0.003 0.003 0.293
Pa2 Pa 0.354 0.354 0.427
Pa3 Pa 0.646 0.646 0.573
Pa4 Pa 0.997 0.997 0.707
B1 B 0.500 0.500 0.500
Te1 Te 0.167 0.167 0.851
Te2 Te 0.176 0.176 0.313
Te3 Te 0.500 0.500 0.000
Te4 Te 0.824 0.824 0.687
Te5 Te 0.833 0.833 0.149

---

No. 5
# GGA-PBE CdIn4Ir2, relaxed
# * formation enthalpy at 0 K: -102 meV/atom
# * symmetry: No. 166
data_CdIn4Ir2
_cell_length_a 9.655
_cell_length_b 9.655
_cell_length_c 9.655
_cell_angle_alpha 27.08
_cell_angle_beta 27.08
_cell_angle_gamma 27.08
_space_group_name_H-M_alt 'P 1'
_space_group_IT_number 1
loop_
_space_group_symop_operation_xyz
'x,y,z'
loop_
_atom_site_label
_atom_site_type_symbol
_atom_site_fract_x
_atom_site_fract_y
_atom_site_fract_z
Cd1 Cd 0.000 0.000 0.000
In1 In 0.198 0.198 0.198
In2 In 0.403 0.403 0.403
In3 In 0.597 0.597 0.597
In4 In 0.802 0.802 0.802
Ir1 Ir 0.098 0.098 0.098
Ir2 Ir 0.902 0.902 0.902

---

No. 6
# GGA-PBE AlSb3, relaxed
# * symmetry: No. 47
# * formation energy without anion corrections: 0.296 eV per atom
data_AlSb3
_cell_length_a 3.157
_cell_length_b 5.119
_cell_length_c 6.357
_cell_angle_alpha 90.00
_cell_angle_beta 90.00
_cell_angle_gamma 90.00
_space_group_name_H-M_alt 'P 1'
_space_group_IT_number 1
loop_
_space_group_symop_operation_xyz
'x,y,z'
loop_
_atom_site_label
_atom_site_type_symbol
_atom_site_fract_x
_atom_site_fract_y
_atom_site_fract_z
Al1 Al 0.000 0.000 0.000
Sb1 Sb 0.000 0.000 0.500
Sb2 Sb 0.500 0.500 0.237
Sb3 Sb 0.500 0.500 0.763

---

Values of ρ, in order: 8.2; 3.0; 20.6; 8.8; 9.6; 6.3, all in g/cm3.